Record 1
Below is a relaxed structure of Sc3Tl4InTe8, with properties calculated at the PBE level.

Formation energy (no corrections) (eV per atom): -0.759

```
data_Sc3Tl4InTe8
_chemical_formula_sum 'Sc3 Tl4 In1 Te8'
_symmetry_space_group_name_H-M 'P 1'
_symmetry_Int_Tables_number 1
_cell_length_a 8.637
_cell_length_b 9.462
_cell_length_c 8.636
_cell_angle_alpha 117.15
_cell_angle_beta 120.00
_cell_angle_gamma 90.00
loop_
_symmetry_equiv_pos_as_xyz
'x,y,z'
loop_
_atom_site_label
_atom_site_type_symbol
_atom_site_fract_x
_atom_site_fract_y
_atom_site_fract_z
Sc1 Sc 0.500 0.500 0.000
Sc2 Sc 0.000 0.500 0.500
Sc3 Sc 0.500 0.500 0.500
Tl1 Tl 0.000 0.000 0.500
Tl2 Tl 0.000 0.000 0.000
Tl3 Tl 0.500 0.000 0.500
Tl4 Tl 0.500 0.000 0.000
Te1 Te 0.735 0.704 0.469
Te2 Te 0.238 0.704 0.966
Te3 Te 0.239 0.704 0.478
Te4 Te 0.265 0.296 0.531
Te5 Te 0.761 0.296 0.522
Te6 Te 0.762 0.296 0.034
Te7 Te 0.728 0.704 0.966
Te8 Te 0.272 0.296 0.034
In1 In 0.000 0.500 0.000
```

=====

Record 2
Below is a relaxed structure of ScTl2InTe5, with properties calculated at the PBE level.

Formation energy (no corrections) (eV per atom): -0.468

```
data_ScTl2InTe5
_chemical_formula_sum 'Sc2 Tl4 In2 Te10'
_symmetry_space_group_name_H-M 'P 1'
_symmetry_Int_Tables_number 1
_cell_length_a 4.231
_cell_length_b 10.121
_cell_length_c 14.913
_cell_angle_alpha 90.00
_cell_angle_beta 90.00
_cell_angle_gamma 102.06
loop_
_symmetry_equiv_pos_as_xyz
'x,y,z'
loop_
_atom_site_label
_atom_site_type_symbol
_atom_site_fract_x
_atom_site_fract_y
_atom_site_fract_z
Te1 Te 0.524 0.047 0.761
Te2 Te 0.476 0.953 0.261
Te3 Te 0.372 0.744 0.003
Te4 Te 0.927 0.854 0.553
Te5 Te 0.073 0.146 0.053
Te6 Te 0.730 0.459 0.905
Te7 Te 0.628 0.256 0.503
Te8 Te 0.266 0.532 0.681
Te9 Te 0.734 0.468 0.181
Te10 Te 0.270 0.541 0.405
Tl1 Tl 0.884 0.768 0.799
Tl2 Tl 0.116 0.232 0.299
Tl3 Tl 0.111 0.223 0.651
Tl4 Tl 0.889 0.777 0.151
Sc1 Sc 0.226 0.452 0.044
Sc2 Sc 0.774 0.548 0.544
In1 In 0.588 0.177 0.927
In2 In 0.412 0.823 0.427
```

=====

Record 3
Below is a relaxed structure of Sc2Tl2InTe6, with properties calculated at the PBE level.

Formation energy (no corrections) (eV per atom): -0.686

```
data_Sc2Tl2InTe6
_chemical_formula_sum 'Sc2 Tl2 In1 Te6'
_symmetry_space_group_name_H-M 'P 1'
_symmetry_Int_Tables_number 1
_cell_length_a 7.434
_cell_length_b 7.434
_cell_length_c 8.346
_cell_angle_alpha 98.80
_cell_angle_beta 98.80
_cell_angle_gamma 121.25
loop_
_symmetry_equiv_pos_as_xyz
'x,y,z'
loop_
_atom_site_label
_atom_site_type_symbol
_atom_site_fract_x
_atom_site_fract_y
_atom_site_fract_z
Te1 Te 0.423 0.084 0.718
Te2 Te 0.577 0.916 0.282
Te3 Te 0.727 0.727 0.692
Te4 Te 0.916 0.577 0.282
Te5 Te 0.084 0.423 0.718
Te6 Te 0.273 0.273 0.308
Sc1 Sc 0.680 0.320 0.500
Sc2 Sc 0.320 0.680 0.500
In1 In 0.000 0.000 0.500
Tl1 Tl 0.841 0.159 0.000
Tl2 Tl 0.159 0.841 0.000
```

=====

Record 4
Below is a relaxed structure of ScTlIn2Te, with properties calculated at the PBE level.

Formation energy (no corrections) (eV per atom): -0.003

```
data_ScTlIn2Te
_chemical_formula_sum 'Sc1 Tl1 In2 Te1'
_symmetry_space_group_name_H-M 'P 1'
_symmetry_Int_Tables_number 1
_cell_length_a 5.710
_cell_length_b 5.480
_cell_length_c 5.710
_cell_angle_alpha 90.00
_cell_angle_beta 90.00
_cell_angle_gamma 90.00
loop_
_symmetry_equiv_pos_as_xyz
'x,y,z'
loop_
_atom_site_label
_atom_site_type_symbol
_atom_site_fract_x
_atom_site_fract_y
_atom_site_fract_z
In1 In 0.000 0.000 0.500
In2 In 0.500 0.000 0.000
Te1 Te 0.000 0.500 0.000
Sc1 Sc 0.000 0.000 0.000
Tl1 Tl 0.500 0.500 0.500
```

=====

Record 5
Below is a relaxed structure of Tm2ScIn3Te6, with properties calculated at the PBE level.

Formation energy (no corrections) (eV per atom): -0.910

```
data_Tm2ScIn3Te6
_chemical_formula_sum 'Tm2 Sc1 In3 Te6'
_symmetry_space_group_name_H-M 'P 1'
_symmetry_Int_Tables_number 1
_cell_length_a 7.493
_cell_length_b 7.493
_cell_length_c 8.449
_cell_angle_alpha 98.50
_cell_angle_beta 98.50
_cell_angle_gamma 119.98
loop_
_symmetry_equiv_pos_as_xyz
'x,y,z'
loop_
_atom_site_label
_atom_site_type_symbol
_atom_site_fract_x
_atom_site_fract_y
_atom_site_fract_z
Te1 Te 0.929 0.604 0.787
Te2 Te 0.253 0.253 0.784
Te3 Te 0.396 0.071 0.213
Te4 Te 0.071 0.396 0.213
Te5 Te 0.604 0.929 0.787
Te6 Te 0.747 0.747 0.216
Tm1 Tm 0.666 0.334 0.000
Tm2 Tm 0.334 0.666 0.000
In1 In 0.830 0.170 0.500
In2 In 0.170 0.830 0.500
In3 In 0.500 0.500 0.500
Sc1 Sc 0.000 0.000 0.000
```

=====

Record 6
Below is a relaxed structure of Sc3UIn3Te8, with properties calculated at the PBE level.

Formation energy (no corrections) (eV per atom): -0.804

```
data_Sc3UIn3Te8
_chemical_formula_sum 'Sc3 U1 In3 Te8'
_symmetry_space_group_name_H-M 'P 1'
_symmetry_Int_Tables_number 1
_cell_length_a 8.460
_cell_length_b 8.461
_cell_length_c 9.418
_cell_angle_alpha 116.69
_cell_angle_beta 90.00
_cell_angle_gamma 120.00
loop_
_symmetry_equiv_pos_as_xyz
'x,y,z'
loop_
_atom_site_label
_atom_site_type_symbol
_atom_site_fract_x
_atom_site_fract_y
_atom_site_fract_z
Te1 Te 0.756 0.029 0.286
Te2 Te 0.756 0.512 0.285
Te3 Te 0.736 0.473 0.709
Te4 Te 0.273 0.029 0.286
Te5 Te 0.264 0.527 0.291
Te6 Te 0.727 0.971 0.714
Te7 Te 0.244 0.488 0.715
Te8 Te 0.244 0.971 0.714
Sc1 Sc 0.500 0.500 0.500
Sc2 Sc 0.500 0.000 0.500
Sc3 Sc 0.000 0.500 0.500
U1 U 0.000 0.000 0.500
In1 In 0.500 0.500 0.000
In2 In 0.000 0.000 0.000
In3 In 0.000 0.500 0.000
```

=====

Record 7
Below is a relaxed structure of Sc2UIn3Te6, with properties calculated at the PBE level.

Formation energy (no corrections) (eV per atom): -0.701

```
data_Sc2UIn3Te6
_chemical_formula_sum 'Sc2 U1 In3 Te6'
_symmetry_space_group_name_H-M 'P 1'
_symmetry_Int_Tables_number 1
_cell_length_a 7.413
_cell_length_b 7.413
_cell_length_c 8.488
_cell_angle_alpha 98.40
_cell_angle_beta 98.40
_cell_angle_gamma 119.90
loop_
_symmetry_equiv_pos_as_xyz
'x,y,z'
loop_
_atom_site_label
_atom_site_type_symbol
_atom_site_fract_x
_atom_site_fract_y
_atom_site_fract_z
In1 In 0.500 0.500 0.500
In2 In 0.161 0.839 0.500
In3 In 0.839 0.161 0.500
Te1 Te 0.072 0.419 0.215
Te2 Te 0.419 0.072 0.215
Te3 Te 0.581 0.928 0.785
Te4 Te 0.277 0.277 0.790
Te5 Te 0.723 0.723 0.210
Te6 Te 0.928 0.581 0.785
U1 U 0.000 0.000 0.000
Sc1 Sc 0.668 0.332 0.000
Sc2 Sc 0.332 0.668 0.000
```

=====

Record 8
Below is a relaxed structure of YScIn2Te4, with properties calculated at the PBE level.

Formation energy (no corrections) (eV per atom): -0.912

```
data_YScIn2Te4
_chemical_formula_sum 'Y1 Sc1 In2 Te4'
_symmetry_space_group_name_H-M 'P 1'
_symmetry_Int_Tables_number 1
_cell_length_a 4.324
_cell_length_b 7.496
_cell_length_c 8.416
_cell_angle_alpha 107.18
_cell_angle_beta 90.00
_cell_angle_gamma 90.00
loop_
_symmetry_equiv_pos_as_xyz
'x,y,z'
loop_
_atom_site_label
_atom_site_type_symbol
_atom_site_fract_x
_atom_site_fract_y
_atom_site_fract_z
Y1 Y 0.500 0.500 0.000
Te1 Te 0.500 0.226 0.212
Te2 Te 0.500 0.774 0.788
Te3 Te 0.000 0.250 0.782
Te4 Te 0.000 0.750 0.218
In1 In 0.000 0.500 0.500
In2 In 0.500 0.000 0.500
Sc1 Sc 0.000 0.000 0.000
```

=====

Record 9
Below is a relaxed structure of Y2ScIn3Te6, with properties calculated at the PBE level.

Formation energy (no corrections) (eV per atom): -0.937

```
data_Y2ScIn3Te6
_chemical_formula_sum 'Y2 Sc1 In3 Te6'
_symmetry_space_group_name_H-M 'P 1'
_symmetry_Int_Tables_number 1
_cell_length_a 7.543
_cell_length_b 7.543
_cell_length_c 8.445
_cell_angle_alpha 98.57
_cell_angle_beta 98.57
_cell_angle_gamma 119.97
loop_
_symmetry_equiv_pos_as_xyz
'x,y,z'
loop_
_atom_site_label
_atom_site_type_symbol
_atom_site_fract_x
_atom_site_fract_y
_atom_site_fract_z
Y1 Y 0.666 0.334 0.000
Y2 Y 0.334 0.666 0.000
In1 In 0.829 0.171 0.500
In2 In 0.500 0.500 0.500
In3 In 0.171 0.829 0.500
Te1 Te 0.751 0.751 0.219
Te2 Te 0.607 0.929 0.785
Te3 Te 0.249 0.249 0.781
Te4 Te 0.929 0.607 0.785
Te5 Te 0.071 0.393 0.215
Te6 Te 0.393 0.071 0.215
Sc1 Sc 0.000 0.000 0.000
```

=====

Record 10
Below is a relaxed structure of ScZn2InTe, with properties calculated at the PBE level.

Formation energy (no corrections) (eV per atom): 0.392

```
data_ScZn2InTe
_chemical_formula_sum 'Sc1 Zn2 In1 Te1'
_symmetry_space_group_name_H-M 'P 1'
_symmetry_Int_Tables_number 1
_cell_length_a 4.878
_cell_length_b 6.332
_cell_length_c 4.878
_cell_angle_alpha 90.00
_cell_angle_beta 90.00
_cell_angle_gamma 90.00
loop_
_symmetry_equiv_pos_as_xyz
'x,y,z'
loop_
_atom_site_label
_atom_site_type_symbol
_atom_site_fract_x
_atom_site_fract_y
_atom_site_fract_z
Te1 Te 0.000 0.500 0.000
In1 In 0.000 0.000 0.000
Zn1 Zn 0.500 0.000 0.000
Zn2 Zn 0.000 0.000 0.500
Sc1 Sc 0.500 0.500 0.500
```

=====

Record 11
Below is a relaxed structure of ScZnIn2Te, with properties calculated at the PBE level.

Formation energy (no corrections) (eV per atom): 0.036

```
data_ScZnIn2Te
_chemical_formula_sum 'Sc1 Zn1 In2 Te1'
_symmetry_space_group_name_H-M 'P 1'
_symmetry_Int_Tables_number 1
_cell_length_a 5.015
_cell_length_b 5.439
_cell_length_c 5.015
_cell_angle_alpha 90.00
_cell_angle_beta 90.00
_cell_angle_gamma 90.00
loop_
_symmetry_equiv_pos_as_xyz
'x,y,z'
loop_
_atom_site_label
_atom_site_type_symbol
_atom_site_fract_x
_atom_site_fract_y
_atom_site_fract_z
In1 In 0.500 0.000 0.000
In2 In 0.000 0.000 0.500
Zn1 Zn 0.000 0.000 0.000
Sc1 Sc 0.000 0.500 0.000
Te1 Te 0.500 0.500 0.500
```

=====

Record 12
Below is a relaxed structure of ThScIn2, with properties calculated at the PBE level.

Energy relative to the elements (eV/atom): -0.31

```
data_ThScIn2
_chemical_formula_sum 'Th1 Sc1 In2'
_symmetry_space_group_name_H-M 'P 1'
_symmetry_Int_Tables_number 1
_cell_length_a 4.602
_cell_length_b 4.774
_cell_length_c 4.774
_cell_angle_alpha 90.00
_cell_angle_beta 90.00
_cell_angle_gamma 90.00
loop_
_symmetry_equiv_pos_as_xyz
'x,y,z'
loop_
_atom_site_label
_atom_site_type_symbol
_atom_site_fract_x
_atom_site_fract_y
_atom_site_fract_z
In1 In 0.000 0.500 0.000
In2 In 0.000 0.000 0.500
Th1 Th 0.500 0.500 0.500
Sc1 Sc 0.500 0.000 0.000
```